# PBE Sc3InAg3S8, optimized geometry
# **DFT total energy**: -155.97 eV per cell
data_Sc3InAg3S8
_space_group_name_H-M_alt 'C 1 2/m 1'
_space_group_IT_number 12
_cell_length_a 13.047
_cell_length_b 7.539
_cell_length_c 7.662
_cell_angle_alpha 90.00
_cell_angle_beta 124.98
_cell_angle_gamma 90.00
loop_
_space_group_symop_operation_xyz
'x,y,z'
'-x,-y,-z'
'-x,y,-z'
'x,-y,z'
'x+1/2,y+1/2,z'
'-x+1/2,-y+1/2,-z'
'-x+1/2,y+1/2,-z'
'x+1/2,-y+1/2,z'
loop_
_atom_site_label
_atom_site_fract_x
_atom_site_fract_y
_atom_site_fract_z
Sc1 0.000 0.000 0.000
Sc2 0.250 0.250 0.000
In1 0.000 0.500 0.000
Ag1 0.000 0.500 0.500
Ag2 0.250 0.250 0.500
S1 0.005 0.248 0.766
S2 0.241 0.000 0.220
S3 0.246 0.500 0.234

***

# PBE ZnCu, optimized geometry
# **DFT total energy**: -33.12 eV per cell
data_ZnCu
_space_group_name_H-M_alt 'A m m 2'
_space_group_IT_number 38
_cell_length_a 4.252
_cell_length_b 8.006
_cell_length_c 4.606
_cell_angle_alpha 90.00
_cell_angle_beta 90.00
_cell_angle_gamma 90.00
loop_
_space_group_symop_operation_xyz
'x,y,z'
'-x,-y,z'
'-x,y,z'
'x,-y,z'
'x,y+1/2,z+1/2'
'-x,-y+1/2,z+1/2'
'-x,y+1/2,z+1/2'
'x,-y+1/2,z+1/2'
loop_
_atom_site_label
_atom_site_fract_x
_atom_site_fract_y
_atom_site_fract_z
Zn1 0.000 0.000 0.000
Zn2 0.500 0.170 0.184
Cu1 0.000 0.165 0.509
Cu2 0.500 0.000 0.675

***

# PBE Sm2PbN, optimized geometry
# **DFT total energy**: -23.44 eV per cell
data_Sm2PbN
_space_group_name_H-M_alt 'P 4/m m m'
_space_group_IT_number 123
_space_group_name_Hall '-P 4 2'
_cell_length_a 3.235
_cell_length_b 3.235
_cell_length_c 8.079
_cell_angle_alpha 90.00
_cell_angle_beta 90.00
_cell_angle_gamma 90.00
loop_
_atom_site_label
_atom_site_fract_x
_atom_site_fract_y
_atom_site_fract_z
Sm1 0.000 0.000 0.182
Pb1 0.500 0.500 0.500
N1 0.500 0.500 0.000

***

# PBE TbNdAg4, optimized geometry
# **ΔE to the lowest computed polymorph**: 0.0008 eV/atom
data_TbNdAg4
_space_group_name_H-M_alt 'C 1 2/m 1'
_space_group_IT_number 12
_cell_length_a 5.373
_cell_length_b 9.443
_cell_length_c 5.364
_cell_angle_alpha 90.00
_cell_angle_beta 90.22
_cell_angle_gamma 90.00
loop_
_space_group_symop_operation_xyz
'x,y,z'
'-x,-y,-z'
'-x,y,-z'
'x,-y,z'
'x+1/2,y+1/2,z'
'-x+1/2,-y+1/2,-z'
'-x+1/2,y+1/2,-z'
'x+1/2,-y+1/2,z'
loop_
_atom_site_label
_atom_site_fract_x
_atom_site_fract_y
_atom_site_fract_z
Tb1 0.000 0.000 0.000
Nd1 0.000 0.500 0.500
Ag1 0.000 0.169 0.500
Ag2 0.000 0.325 0.000

***

# PBE MgGa2Fe, optimized geometry
# **DFT total energy**: -60.65 eV per cell
data_MgGa2Fe
_space_group_name_H-M_alt 'I -4 2 d'
_space_group_IT_number 122
_space_group_name_Hall 'I -4 2bw'
_cell_length_a 4.014
_cell_length_b 4.014
_cell_length_c 17.725
_cell_angle_alpha 90.00
_cell_angle_beta 90.00
_cell_angle_gamma 90.00
loop_
_atom_site_label
_atom_site_fract_x
_atom_site_fract_y
_atom_site_fract_z
Mg1 0.000 0.000 0.000
Ga1 0.201 0.250 0.625
Fe1 0.000 0.000 0.500

***

# PBE Tb4In2Hg, optimized geometry
# **ΔE to the lowest computed polymorph**: 0.0000 eV/atom
data_Tb4In2Hg
_space_group_name_H-M_alt 'R -3 m'
_space_group_IT_number 166
_space_group_name_Hall '-R 3 2"'
_cell_length_a 5.2729
_cell_length_b 5.2729
_cell_length_c 25.6425
_cell_angle_alpha 90.00
_cell_angle_beta 90.00
_cell_angle_gamma 120.00
loop_
_atom_site_label
_atom_site_fract_x
_atom_site_fract_y
_atom_site_fract_z
Tb1 0.0000 0.0000 0.1212
Tb2 0.0000 0.0000 0.3728
In1 0.0000 0.0000 0.2503
Hg1 0.0000 0.0000 0.5000

***

# PBE OsRu, optimized geometry
# **DFT total energy**: -77.30 eV per cell
data_OsRu
_space_group_name_H-M_alt 'P 63/m m c'
_space_group_IT_number 194
_space_group_name_Hall '-P 6c 2c'
_cell_length_a 4.2550
_cell_length_b 4.2550
_cell_length_c 7.9722
_cell_angle_alpha 90.00
_cell_angle_beta 90.00
_cell_angle_gamma 120.00
loop_
_atom_site_label
_atom_site_fract_x
_atom_site_fract_y
_atom_site_fract_z
Os1 0.0000 0.0000 0.2500
Os2 0.3333 0.6667 0.2500
Ru1 0.3333 0.6667 0.5895

***

# PBE La2PmTe, optimized geometry
# **ΔE to the lowest computed polymorph**: 0.0151 eV/atom
data_La2PmTe
_space_group_name_H-M_alt 'P 4/m m m'
_space_group_IT_number 123
_space_group_name_Hall '-P 4 2'
_cell_length_a 4.937
_cell_length_b 4.937
_cell_length_c 4.974
_cell_angle_alpha 90.00
_cell_angle_beta 90.00
_cell_angle_gamma 90.00
loop_
_atom_site_label
_atom_site_fract_x
_atom_site_fract_y
_atom_site_fract_z
La1 0.000 0.500 0.000
Pm1 0.000 0.000 0.500
Te1 0.500 0.500 0.500

***

Copy entry 2 word for word.
# PBE ZnCu, optimized geometry
# **DFT total energy**: -33.12 eV per cell
data_ZnCu
_space_group_name_H-M_alt 'A m m 2'
_space_group_IT_number 38
_cell_length_a 4.252
_cell_length_b 8.006
_cell_length_c 4.606
_cell_angle_alpha 90.00
_cell_angle_beta 90.00
_cell_angle_gamma 90.00
loop_
_space_group_symop_operation_xyz
'x,y,z'
'-x,-y,z'
'-x,y,z'
'x,-y,z'
'x,y+1/2,z+1/2'
'-x,-y+1/2,z+1/2'
'-x,y+1/2,z+1/2'
'x,-y+1/2,z+1/2'
loop_
_atom_site_label
_atom_site_fract_x
_atom_site_fract_y
_atom_site_fract_z
Zn1 0.000 0.000 0.000
Zn2 0.500 0.170 0.184
Cu1 0.000 0.165 0.509
Cu2 0.500 0.000 0.675